# 1
Density functional theory data (PBE) for an optimized crystal structure of La2ZnAu.

Cell: 4.7492 4.0198 6.1167 Å, 71.51 90.00 90.00°
With the nearest neighbours (Å) after each atom.
Positions (direct):
Zn1 0.0000 0.6997 0.4721  2 Au 2.95, 7 La 3.20-3.26
Au1 0.5000 0.5514 0.7743  2 Zn 2.95, 7 La 3.20-3.30
La1 0.0000 0.9862 0.9096  4 Au 3.21, 3 Zn 3.23-3.26
La2 0.5000 0.2627 0.3440  4 Zn 3.20, 3 Au 3.20-3.30

Magnetic moment = 0.0 μB per formula unit
Calculated formation energy = -207.6 kJ/mol of formula units



# 2
Density functional theory data (PBE) for an optimized crystal structure of LaGaTe2I.

Cell: 6.1676 6.1676 6.3134 Å, 90.00 90.00 90.00°
With the nearest neighbours (Å) after each atom.
Positions (direct):
I1 0.0000 0.0000 0.5000  2 La 3.16
Te1 0.0000 0.5000 0.0000  2 La 3.08
Te2 0.5000 0.0000 0.0000  2 La 3.08
Ga1 0.5000 0.5000 0.5000  4 I 4.36, 8 Te 4.41
La1 0.0000 0.0000 0.0000  4 Te 3.08, 2 I 3.16

Uncorrected formation energy = -49 kJ/mol of atoms
Magnetic moment = 0.0 μB per formula unit



E
In order: -16.56, -18.32
Unit: eV for the cell shown